Entry 1:
This record from Alexandria describes Ce6PPt2I3 after structural relaxation. The functional is PBE-GGA.

Summary:
Formation energy from raw total energies: -1208 kJ/mol of formula units
Fermi-level density of states: 34.08 states/eV/f.u.
Crystal system: monoclinic
Space-group type: C2/m, No. 12

a b c (Å): 7.363 7.363 8.037
angles (deg): 98.77 98.77 120.00
Last column: magnetic moment on the atom in μB.
Positions (direct):
Ce (0.602, 0.934, 0.804)  0.92
Ce (0.398, 0.066, 0.196)  0.92
Ce (0.934, 0.602, 0.804)  0.92
Ce (0.066, 0.398, 0.196)  0.92
Ce (0.266, 0.266, 0.804)  0.91
Ce (0.734, 0.734, 0.196)  0.91
P (0.000, 0.000, 0.000)  -0.05
Pt (0.667, 0.333, 0.000)  -0.01
Pt (0.333, 0.667, 0.000)  -0.01
I (0.500, 0.500, 0.500)  -0.01
I (0.165, 0.835, 0.500)  -0.01
I (0.835, 0.165, 0.500)  -0.01


Entry 2:
This record from Alexandria describes CePS4I after structural relaxation. The functional is PBE-GGA.

Summary:
Formation energy from raw total energies: -513 kJ/mol of formula units
Fermi-level density of states: 0.36 states/eV/f.u.
Crystal system: monoclinic
Space-group type: C2/m, No. 12

a b c (Å): 7.210 7.210 7.849
angles (deg): 79.47 79.47 74.29
Last column: magnetic moment on the atom in μB.
Positions (direct):
S (0.240, 0.240, 0.496)  -0.01
S (0.760, 0.760, 0.504)  -0.01
S (0.532, 0.532, 0.307)  -0.02
S (0.156, 0.511, 0.102)  -0.01
S (0.511, 0.156, 0.102)  -0.01
S (0.844, 0.489, 0.898)  -0.01
S (0.489, 0.844, 0.898)  -0.01
S (0.468, 0.468, 0.693)  -0.02
I (0.974, 0.974, 0.777)  -0.02
I (0.026, 0.026, 0.223)  -0.02
Ce (0.230, 0.230, 0.868)  0.22
Ce (0.770, 0.770, 0.132)  0.22
P (0.635, 0.635, 0.733)  0.00
P (0.365, 0.365, 0.267)  0.00


Entry 3:
This record from Alexandria describes Ce6P2Se3I after structural relaxation. The functional is PBE-GGA.

Summary:
Formation energy from raw total energies: -1794 kJ/mol of formula units
Fermi-level density of states: 35.45 states/eV/f.u.
Crystal system: monoclinic
Space-group type: C2/m, No. 12

a b c (Å): 4.191 8.500 9.394
angles (deg): 102.19 102.89 90.00
Last column: magnetic moment on the atom in μB.
Positions (direct):
P (0.831, 0.664, 0.662)  -0.03
P (0.169, 0.336, 0.338)  -0.03
Se (0.839, 0.167, 0.678)  -0.02
Se (0.500, 0.500, 0.000)  -0.02
Se (0.161, 0.833, 0.322)  -0.02
Ce (0.670, 0.574, 0.340)  0.69
Ce (0.008, 0.273, 0.017)  0.79
Ce (0.330, 0.426, 0.660)  0.69
Ce (0.676, 0.103, 0.351)  0.81
Ce (0.992, 0.727, 0.983)  0.79
Ce (0.324, 0.897, 0.649)  0.81
I (0.500, 0.000, 0.000)  -0.01


Entry 4:
This record from Alexandria describes CePaI5 after structural relaxation. The functional is PBE-GGA.

Summary:
Formation energy from raw total energies: -700 kJ/mol of formula units
Fermi-level density of states: 9.20 states/eV/f.u.
Crystal system: monoclinic
Space-group type: P2_1/m, No. 11

a b c (Å): 4.112 9.600 15.269
angles (deg): 97.41 90.00 90.00
Last column: magnetic moment on the atom in μB.
Positions (direct):
Pa (0.250, 0.898, 0.871)  1.82
Pa (0.750, 0.102, 0.129)  1.82
I (0.750, 0.646, 0.288)  -0.01
I (0.250, 0.849, 0.073)  -0.02
I (0.250, 0.080, 0.290)  -0.02
I (0.750, 0.151, 0.927)  -0.02
I (0.250, 0.354, 0.124)  -0.03
I (0.750, 0.920, 0.710)  -0.02
I (0.750, 0.646, 0.876)  -0.03
I (0.750, 0.317, 0.480)  -0.01
I (0.250, 0.354, 0.712)  -0.01
I (0.250, 0.683, 0.520)  -0.01
Ce (0.750, 0.577, 0.659)  1.21
Ce (0.250, 0.423, 0.341)  1.21


Entry 5:
This record from Alexandria describes Ce2PaI after structural relaxation. The functional is PBE-GGA.

Summary:
Formation energy from raw total energies: -21 kJ/mol of formula units
Fermi-level density of states: 7.68 states/eV/f.u.
Crystal system: trigonal
Space-group type: R-3m, No. 166

a b c (Å): 3.957 3.957 8.537
angles (deg): 76.60 76.60 60.00
Positions (direct):
Pa (0.000, 0.000, 0.000)
I (0.500, 0.500, 0.500)
Ce (0.269, 0.269, 0.194)
Ce (0.731, 0.731, 0.806)


Entry 6:
This record from Alexandria describes CePaI6 after structural relaxation. The functional is PBE-GGA.

Summary:
Formation energy from raw total energies: -817 kJ/mol of formula units
Fermi-level density of states: 14.53 states/eV/f.u.
Crystal system: monoclinic
Space-group type: C2/m, No. 12

a b c (Å): 7.715 8.246 8.246
angles (deg): 124.09 98.72 98.72
Last column: magnetic moment on the atom in μB.
Positions (direct):
I (0.743, 0.252, 0.252)  -0.02
I (0.254, 0.107, 0.409)  -0.02
I (0.257, 0.748, 0.748)  -0.02
I (0.746, 0.591, 0.893)  -0.02
I (0.254, 0.409, 0.107)  -0.02
I (0.746, 0.893, 0.591)  -0.02
Pa (0.500, 0.500, 0.500)  1.56
Ce (0.000, 0.000, 0.000)  1.23


Entry 7:
This record from Alexandria describes Ce3PbI3 after structural relaxation. The functional is PBE-GGA.

Summary:
Formation energy from raw total energies: -610 kJ/mol of formula units
Fermi-level density of states: 22.59 states/eV/f.u.
Crystal system: monoclinic
Space-group type: C2, No. 5

a b c (Å): 11.103 11.130 11.130
angles (deg): 109.63 109.44 109.44
Last column: magnetic moment on the atom in μB.
Positions (direct):
Ce (0.747, 0.256, 0.748)  -1.08
Ce (0.756, 0.005, 0.010)  -1.08
Ce (0.994, 0.245, 0.492)  -1.08
Ce (0.506, 0.008, 0.255)  -1.08
Ce (0.508, 0.254, 0.005)  -1.08
Ce (0.753, 0.752, 0.244)  -1.08
Ce (0.995, 0.749, 0.005)  -1.08
Ce (0.250, 0.004, 0.496)  -1.08
Ce (0.992, 0.495, 0.246)  -1.08
Ce (0.505, 0.495, 0.751)  -1.08
Ce (0.250, 0.246, 0.254)  -1.08
Ce (0.744, 0.490, 0.495)  -1.08
I (0.006, 0.251, 0.994)  0.01
I (0.750, 0.993, 0.507)  0.01
I (0.495, 0.989, 0.744)  0.01
I (0.487, 0.744, 0.992)  0.01
I (0.244, 0.993, 0.988)  0.01
I (0.256, 0.744, 0.250)  0.01
I (0.256, 0.512, 0.507)  0.01
I (0.244, 0.250, 0.756)  0.01
I (0.494, 0.506, 0.249)  0.01
I (0.013, 0.508, 0.756)  0.01
I (0.750, 0.756, 0.744)  0.01
I (0.005, 0.756, 0.511)  0.01
Pb (0.750, 0.250, 0.250)  0.03
Pb (0.750, 0.499, 0.001)  0.03
Pb (0.001, 0.001, 0.251)  0.03
Pb (0.499, 0.249, 0.499)  0.03


Entry 8:
This record from Alexandria describes Ce2PbI after structural relaxation. The functional is PBE-GGA.

Summary:
Formation energy from raw total energies: -213 kJ/mol of formula units
Fermi-level density of states: 12.85 states/eV/f.u.
Crystal system: cubic
Space-group type: Fm-3m, No. 225
Polymorph energy (0 for the lowest one): 67 meV/atom

a b c (Å): 5.550 5.550 5.550
angles (deg): 60.00 60.00 60.00
Last column: magnetic moment on the atom in μB.
Positions (direct):
Pb (0.000, 0.000, 0.000)  -0.06
Ce (0.250, 0.250, 0.250)  1.09
Ce (0.750, 0.750, 0.750)  1.09
I (0.500, 0.500, 0.500)  -0.04


> Which value of formation energy from raw total energies does entry 4 give?

-700 kJ/mol of formula units


> The lowest Fermi-level density of states belongs to which entry?

CePS4I